Below is crystalline ErVIn2O6 at its relaxed geometry, with properties calculated at the PBE with a Hubbard U level.

Lattice parameters (Å, degrees): 5.513 5.514 5.849 90.05 118.06 119.98
Space group P1 (No. 1)
Inequivalent atoms, fractional coordinates:
Er (0.000, 0.000, 0.000)
V (0.982, 0.491, 0.472)
In (0.559, 0.280, 0.839)
In (0.573, 0.787, 0.360)
O (0.080, 0.397, 0.190)
O (0.081, 0.212, 0.674)
O (0.463, 0.869, 0.674)
O (0.507, 0.110, 0.190)
O (0.793, 0.683, 0.190)
O (0.805, 0.593, 0.674)

## Properties
VASP energy, eV per formula unit: -68.8